16
Lattice="5.6451 0.0000 0.0000 0.0000 7.2088 0.0000 0.0000 0.0000 8.3908" Properties=species:S:1:pos:R:3 comment="PBE NdGaAu2, optimized geometry" n_ef_per_ev_fu=2.75 magnetic_moment_mub_per_fu=0.00 formation_energy_ev_per_atom=-0.673 pbc="T T T"
Nd 3.6552 5.4066 7.9250
Nd 0.8327 1.8022 4.6613
Nd 1.9899 1.8022 0.4658
Nd 4.8124 5.4066 3.7296
Au 4.9664 0.3403 1.5181
Au 2.1439 3.9447 2.6773
Au 0.6787 3.9447 6.8727
Au 3.5012 0.3403 5.7135
Au 2.1439 6.8684 2.6773
Au 3.5012 3.2640 5.7135
Au 0.6787 6.8684 6.8727
Au 4.9664 3.2640 1.5181
Ga 3.6435 1.8022 3.2990
Ga 2.0016 5.4066 5.0918
Ga 4.8241 1.8022 7.4944
Ga 0.8210 5.4066 0.8964